A plane-wave DFT calculation with PBE was carried out for an optimized crystal structure of CuMo2W.

POSCAR file:
```
CuMo2W
1.0
5.511 0.000 0.000
0.000 7.751 0.000
0.000 0.000 2.849
Cu Mo W
2 4 2
direct
0.000 0.000 0.000
0.500 0.500 0.000
0.250 0.250 0.500
0.250 0.750 0.500
0.750 0.250 0.500
0.750 0.750 0.500
0.000 0.500 0.000
0.500 0.000 0.000
```

Summary:
Volume ... 15.21 Å³ per atom
Energy of formation ... 0.309 eV/atom
Excess energy over the best structure of this formula in the dataset ... 173 meV per atom



A plane-wave DFT calculation with PBE was carried out for an optimized crystal structure of CuMo3W.

POSCAR file:
```
CuMo3W
1.0
4.455 0.000 0.000
0.000 4.455 0.000
0.000 0.000 4.455
Cu Mo W
1 3 1
direct
0.000 0.000 0.000
0.000 0.000 0.500
0.000 0.500 0.000
0.500 0.000 0.000
0.500 0.500 0.500
```

Summary:
Volume ... 17.68 Å³ per atom
Energy of formation ... 1.735 eV/atom
Excess energy over the best structure of this formula in the dataset ... 0 meV per atom